Record 1
Below is a relaxed structure of ZrCoBr2, with properties calculated at the PBE level.

Lattice parameters (Å, degrees): 3.3941 3.3941 25.8415 90.00 90.00 120.00
With the nearest neighbours (Å) after each atom.
Space group R-3m (No. 166, hexagonal axes)
Unique sites:
Zr  0.0000  0.0000  0.0000  6 Br 2.78
Co  0.0000  0.0000  0.5000  2 Br 2.33
Br  0.0000  0.0000  0.4097  1 Co 2.33

Properties
Formation energy from raw total energies, eV per atom: -0.11
Distance to the lowest polymorph of the same formula, meV per atom: 355
Total magnetic moment, Bohr magnetons per cell: 4.35



Record 2
Below is a relaxed structure of ZrCo2Br, with properties calculated at the PBE level.

Lattice parameters (Å, degrees): 5.4686 5.4686 10.9896 90.00 90.00 90.00
With the nearest neighbours (Å) after each atom.
Space group I-42d (No. 122)
Unique sites:
Zr  0.0000  0.0000  0.0000  4 Co 2.49
Co  0.2149  0.2500  0.6250  2 Br 2.27, 2 Zr 2.49
Br  0.0000  0.0000  0.5000  4 Co 2.27

Properties
Formation energy from raw total energies, eV per atom: 0.64
Distance to the lowest polymorph of the same formula, meV per atom: 751
Total magnetic moment, Bohr magnetons per cell: 0.00



Record 3
Below is a relaxed structure of ZrCoBr2, with properties calculated at the PBE level.

Lattice parameters (Å, degrees): 6.6669 6.6669 6.6669 90.00 90.00 90.00
With the nearest neighbours (Å) after each atom.
Space group Fm-3m (No. 225)
Unique sites:
Zr  0.0000  0.0000  0.0000  8 Br 2.89
Co  0.0000  0.0000  0.5000  8 Br 2.89
Br  0.2500  0.2500  0.2500  4 Zr 2.89, 4 Co 2.89

Properties
Formation energy from raw total energies, eV per atom: 0.20
Distance to the lowest polymorph of the same formula, meV per atom: 664
Total magnetic moment, Bohr magnetons per cell: 4.28



Record 4
Below is a relaxed structure of ZrCoBr2, with properties calculated at the PBE level.

Lattice parameters (Å, degrees): 11.8474 3.4210 5.2715 90.00 94.26 90.00
With the nearest neighbours (Å) after each atom.
Space group Cm (No. 8)
Unique sites:
Zr  0.0000  0.0000  0.0000  2 Co 2.42
Co  0.1197  0.5000  0.8392  2 Zr 2.42, 1 Br 2.44
Br  0.0941  0.5000  0.3757  1 Co 2.44
Br  0.3138  0.0000  0.8586  2 Zr 2.85, 2 Co 2.86

Properties
Formation energy from raw total energies, eV per atom: -0.33
Distance to the lowest polymorph of the same formula, meV per atom: 127
Total magnetic moment, Bohr magnetons per cell: 0.21